(1)
Computed, not measured: a relaxed structure of Bi3H4Pd9 at the PBE level of DFT. Values from VASP.

Geometry as Quantum ESPRESSO input:
```
&SYSTEM
  ibrav = 0, nat = 16, ntyp = 3
/
ATOMIC_SPECIES
Pd 106.42 Pd.upf
H 1.01 H.upf
Bi 208.98 Bi.upf
ATOMIC_POSITIONS crystal
Pd 0.9173 0.9170 0.7485
Pd 0.8592 0.3550 0.4306
Pd 0.9170 0.4172 0.7485
Pd 0.3551 0.8592 0.4306
Pd 0.9753 0.4791 0.0665
Pd 0.4791 0.4791 0.0665
Pd 0.3550 0.3551 0.4306
Pd 0.4791 0.9753 0.0665
Pd 0.4172 0.9173 0.7485
H 0.6785 0.6786 0.9644
H 0.2808 0.2808 0.1576
H 0.1553 0.1553 0.5341
H 0.5533 0.5533 0.3401
Bi 0.8512 0.8511 0.4466
Bi 0.4172 0.4172 0.7485
Bi 0.9832 0.9832 0.0504
CELL_PARAMETERS angstrom
5.5267 0.0000 1.9508
2.4191 4.9692 1.9506
0.0960 0.0596 8.5333
```

## Properties
Its density of states at the Fermi level is 0.312 states/eV per atom. Its space group is R3m (160). Its total DFT energy (no corrections) is -4.65 eV per atom.

(2)
Computed, not measured: a relaxed structure of CaY2OsF at the PBE level of DFT. Values from VASP.

Geometry as Quantum ESPRESSO input:
```
&SYSTEM
  ibrav = 0, nat = 5, ntyp = 4
/
ATOMIC_SPECIES
Y 88.91 Y.upf
Os 190.23 Os.upf
Ca 40.08 Ca.upf
F 19.00 F.upf
ATOMIC_POSITIONS crystal
Y 0.5000 0.0000 0.0000
Y 0.0000 0.0000 0.5000
Os 0.0000 0.0000 0.0000
Ca 0.5000 0.5000 0.5000
F 0.0000 0.5000 0.0000
CELL_PARAMETERS angstrom
-5.0039 -2.3267 -0.5292
1.5495 -2.6205 -3.1302
1.3504 -3.7749 3.8288
```

## Properties
As for the uncorrected formation energy: -0.0197 eV/atom. Its density of states at the Fermi level is 0.961 states/eV per atom. Its space group is P4/mmm (123).

(3)
Computed, not measured: a relaxed structure of SrNiAg2 at the PBE level of DFT. Values from VASP.

Geometry as Quantum ESPRESSO input:
```
&SYSTEM
  ibrav = 0, nat = 4, ntyp = 3
/
ATOMIC_SPECIES
Ag 107.87 Ag.upf
Ni 58.69 Ni.upf
Sr 87.62 Sr.upf
ATOMIC_POSITIONS crystal
Ag 0.5486 0.5486 0.5486
Ag 0.9514 0.9514 0.9514
Ni 0.2500 0.2500 0.2500
Sr 0.7500 0.7500 0.7500
CELL_PARAMETERS angstrom
-1.9646 4.8839 2.7117
-5.0641 1.6180 2.6080
-1.6377 1.3790 5.5210
```

## Properties
For the formation energy, the calculation gives -0.019 eV per atom. Its density of states at the Fermi level is 0.698 states/eV per atom. Its space group is R-3m (166).

(4)
Computed, not measured: a relaxed structure of Sb2SO at the PBE level of DFT. Values from VASP.

Geometry as Quantum ESPRESSO input:
```
&SYSTEM
  ibrav = 0, nat = 4, ntyp = 3
/
ATOMIC_SPECIES
Sb 121.76 Sb.upf
S 32.06 S.upf
O 16.00 O.upf
ATOMIC_POSITIONS crystal
Sb 0.7500 0.7500 0.7500
Sb 0.2500 0.2500 0.2500
S 0.5000 0.5000 0.5000
O 0.0000 0.0000 0.0000
CELL_PARAMETERS angstrom
0.0000 3.3129 3.3129
3.3129 0.0000 3.3129
3.3129 3.3129 0.0000
```

## Properties
As for the uncorrected formation energy: 0.1558 eV/atom. Its density of states at the Fermi level is 0.939 states/eV per atom. Its space group is Fm-3m (225). For the distance to the lowest polymorph of the same formula, the calculation gives 8.52 kcal/mol of atoms.

(5)
Computed, not measured: a relaxed structure of Pu3RuRh2 at the PBE level of DFT. Values from VASP.

Geometry as Quantum ESPRESSO input:
```
&SYSTEM
  ibrav = 0, nat = 12, ntyp = 3
/
ATOMIC_SPECIES
Rh 102.91 Rh.upf
Pu 244.00 Pu.upf
Ru 101.07 Ru.upf
ATOMIC_POSITIONS crystal
Rh 0.9990 0.0000 0.3271
Rh 0.9990 0.0000 0.6729
Rh 0.0010 0.5000 0.8271
Rh 0.0010 0.5000 0.1729
Pu 0.4979 0.0000 0.5000
Pu 0.5021 0.5000 0.0000
Pu 0.5013 0.0000 0.8377
Pu 0.5013 0.0000 0.1623
Pu 0.4987 0.5000 0.6623
Pu 0.4987 0.5000 0.3377
Ru 0.0022 0.0000 0.0000
Ru 0.9978 0.5000 0.5000
CELL_PARAMETERS angstrom
3.2350 0.0000 0.0000
0.0000 4.7901 0.0000
0.0000 0.0000 15.2810
```

## Properties
For the formation energy, the calculation gives -0.290 eV per atom. Its density of states at the Fermi level is 3.734 states/eV per atom. Its space group is Pmmn (59).

(6)
Computed, not measured: a relaxed structure of CoAg2W at the PBE level of DFT. Values from VASP.

Geometry as Quantum ESPRESSO input:
```
&SYSTEM
  ibrav = 0, nat = 4, ntyp = 3
/
ATOMIC_SPECIES
Co 58.93 Co.upf
W 183.84 W.upf
Ag 107.87 Ag.upf
ATOMIC_POSITIONS crystal
Co 0.5000 0.5000 0.2500
W 0.5000 0.5000 0.7500
Ag 0.0000 0.0000 0.0153
Ag 0.0000 0.0000 0.4847
CELL_PARAMETERS angstrom
-0.3047 -2.3163 1.3661
0.9323 -1.3806 -2.1328
7.9429 0.7258 3.0021
```

## Properties
For the formation energy, the calculation gives 0.610 eV per atom. Its density of states at the Fermi level is 0.984 states/eV per atom. Its space group is P4/mmm (123). For the distance to the lowest polymorph of the same formula, the calculation gives 6.49 kcal/mol of atoms.

(7)
Computed, not measured: a relaxed structure of Sc4SbTe3 at the PBE level of DFT. Values from VASP.

Geometry as Quantum ESPRESSO input:
```
&SYSTEM
  ibrav = 0, nat = 8, ntyp = 3
/
ATOMIC_SPECIES
Sc 44.96 Sc.upf
Te 127.60 Te.upf
Sb 121.76 Sb.upf
ATOMIC_POSITIONS crystal
Sc 0.0000 0.2398 0.2398
Sc 0.5000 0.7561 0.2439
Sc 0.0000 0.7602 0.7602
Sc 0.5000 0.2439 0.7561
Te 0.5000 0.5000 0.5000
Te 0.0000 0.5000 0.0000
Te 0.0000 0.0000 0.5000
Sb 0.5000 0.0000 0.0000
CELL_PARAMETERS angstrom
4.1604 0.0000 0.0000
0.0000 7.2256 -0.0620
0.0000 -2.3369 6.8376
```

## Properties
As for the uncorrected formation energy: -1.0843 eV/atom. Its density of states at the Fermi level is 0.640 states/eV per atom. Its space group is Cmmm (65).

(8)
Computed, not measured: a relaxed structure of Y6MgCu2 at the PBE level of DFT. Values from VASP.

Geometry as Quantum ESPRESSO input:
```
&SYSTEM
  ibrav = 0, nat = 18, ntyp = 3
/
ATOMIC_SPECIES
Cu 63.55 Cu.upf
Y 88.91 Y.upf
Mg 24.30 Mg.upf
ATOMIC_POSITIONS crystal
Cu 0.6519 0.0000 0.6519
Cu 0.5000 0.6183 0.1183
Cu 0.3481 0.0000 0.3481
Cu 0.5000 0.3817 0.8817
Y 0.3040 0.9841 0.6801
Y 0.1966 0.7611 0.9577
Y 0.0996 0.2841 0.8156
Y 0.6960 0.0159 0.3199
Y 0.6960 0.3760 0.6801
Y 0.3040 0.6240 0.3199
Y 0.8034 0.2389 0.0423
Y 0.4685 0.2841 0.1844
Y 0.5315 0.7159 0.8156
Y 0.9004 0.7159 0.1844
Y 0.8034 0.7611 0.5644
Y 0.1966 0.2389 0.4356
Mg 0.0000 0.0000 0.0000
Mg 0.0000 0.5000 0.5000
CELL_PARAMETERS angstrom
8.0674 -0.0497 -2.9116
-4.3091 7.0163 -2.4011
-0.0595 0.0497 8.5765
```

## Properties
For the formation energy, the calculation gives -0.123 eV per atom. Its density of states at the Fermi level is 1.188 states/eV per atom. Its space group is Immm (71).

(9)
Computed, not measured: a relaxed structure of Y3Al2Ga at the PBE level of DFT. Values from VASP.

Geometry as Quantum ESPRESSO input:
```
&SYSTEM
  ibrav = 0, nat = 6, ntyp = 3
/
ATOMIC_SPECIES
Al 26.98 Al.upf
Y 88.91 Y.upf
Ga 69.72 Ga.upf
ATOMIC_POSITIONS crystal
Al 0.3333 0.6667 0.6587
Al 0.6667 0.3333 0.3413
Y 0.3333 0.6667 0.1596
Y 0.6667 0.3333 0.8404
Y 0.0000 0.0000 0.5000
Ga 0.0000 0.0000 0.0000
CELL_PARAMETERS angstrom
5.0808 0.0000 0.0000
-2.5404 4.4001 0.0000
0.0000 0.0000 6.2542
```

## Properties
For the formation energy, the calculation gives -0.474 eV per atom. Its density of states at the Fermi level is 0.356 states/eV per atom. Its space group is P-3m1 (164).

(10)
Computed, not measured: a relaxed structure of NiCl2 at the PBE level of DFT. Values from VASP.

Geometry as Quantum ESPRESSO input:
```
&SYSTEM
  ibrav = 0, nat = 6, ntyp = 2
/
ATOMIC_SPECIES
Cl 35.45 Cl.upf
Ni 58.69 Ni.upf
ATOMIC_POSITIONS crystal
Cl 0.1911 0.3089 0.5000
Cl 0.3089 0.8089 0.1178
Cl 0.8089 0.6911 0.5000
Cl 0.6911 0.1911 0.8822
Ni 0.7500 0.7500 0.0000
Ni 0.2500 0.2500 0.0000
CELL_PARAMETERS angstrom
-2.9967 2.9967 2.9651
2.9967 -2.9967 2.9651
2.9967 2.9967 -2.9651
```

## Properties
As for the uncorrected formation energy: 0.0596 eV/atom. Its density of states at the Fermi level is 0.954 states/eV per atom. Its space group is I4/mcm (140).

(11)
Computed, not measured: a relaxed structure of LaHg2 at the PBE level of DFT. Values from VASP.

Geometry as Quantum ESPRESSO input:
```
&SYSTEM
  ibrav = 0, nat = 3, ntyp = 2
/
ATOMIC_SPECIES
Hg 200.59 Hg.upf
La 138.91 La.upf
ATOMIC_POSITIONS crystal
Hg 0.0000 0.5000 0.5000
Hg 0.5000 0.0000 0.5000
La 0.0000 0.0000 0.0000
CELL_PARAMETERS angstrom
-1.4179 2.3542 -4.4422
-3.9955 -3.3291 -0.4890
-2.2835 2.4434 2.0238
```

## Properties
For the formation energy, the calculation gives -0.196 eV per atom. Its density of states at the Fermi level is 1.039 states/eV per atom. Its space group is P4/mmm (123).

(12)
Computed, not measured: a relaxed structure of CaThInPd at the PBE level of DFT. Values from VASP.

Geometry as Quantum ESPRESSO input:
```
&SYSTEM
  ibrav = 0, nat = 4, ntyp = 4
/
ATOMIC_SPECIES
Ca 40.08 Ca.upf
Th 232.04 Th.upf
Pd 106.42 Pd.upf
In 114.82 In.upf
ATOMIC_POSITIONS crystal
Ca 0.0000 0.0000 0.0000
Th 0.5000 0.5000 0.5000
Pd 0.2500 0.2500 0.2500
In 0.7500 0.7500 0.7500
CELL_PARAMETERS angstrom
5.2753 0.0000 0.0000
2.6377 4.5685 0.0000
2.6377 1.5228 4.3073
```

## Properties
For the formation energy, the calculation gives -0.432 eV per atom. Its density of states at the Fermi level is 0.561 states/eV per atom. Its space group is F-43m (216).